[1]
Computed, not measured: a relaxed structure of ZrTcH2 at the PBE-GGA level of DFT.

Its total magnetization is 0.000 μB per atom. Its energy relative to the lowest polymorph listed for this composition is 0.00 eV per formula unit.

The structure belongs to space group I-42d (No. 122); the cell edges are 4.1765, 4.1765 and 9.8633 Å and the angles 90.00°, 90.00° and 90.00°. The inequivalent atoms are Zr at (0.0000, 0.0000, 0.0000), Tc at (0.0000, 0.0000, 0.5000) and H at (0.1953, 0.2500, 0.6250).

[2]
Computed, not measured: a relaxed structure of ZrTc2H at the PBE-GGA level of DFT.

Its total magnetization is 0.000 μB per atom. Its energy relative to the lowest polymorph listed for this composition is 0.00 eV per formula unit.

The structure belongs to space group Fd-3m (No. 227, origin choice 2); the cell edges are 7.7240, 7.7240 and 7.7240 Å and the angles 90.00°, 90.00° and 90.00°. The inequivalent atoms are Zr at (0.1250, 0.1250, 0.1250), Tc at (0.0000, 0.0000, 0.5000) and H at (0.1250, 0.1250, 0.6250).

[3]
Computed, not measured: a relaxed structure of ZrTcH2 at the PBE-GGA level of DFT.

Its total magnetization is 0.000 μB per atom. Its energy relative to the lowest polymorph listed for this composition is 1.82 eV per formula unit.

The structure belongs to space group Fm-3m (No. 225); the cell edges are 5.5086, 5.5086 and 5.5086 Å and the angles 90.00°, 90.00° and 90.00°. The inequivalent atoms are Zr at (0.0000, 0.0000, 0.0000), Tc at (0.0000, 0.0000, 0.5000) and H at (0.2500, 0.2500, 0.2500).

[4]
Computed, not measured: a relaxed structure of ZrTcH3 at the PBE-GGA level of DFT.

Its total magnetization is 0.000 μB per atom. Its energy relative to the lowest polymorph listed for this composition is 0.54 eV per formula unit.

The structure belongs to space group Pm-3m (No. 221); the cell edges are 3.5548, 3.5548 and 3.5548 Å and the angles 90.00°, 90.00° and 90.00°. The inequivalent atoms are Zr at (0.0000, 0.0000, 0.0000), Tc at (0.5000, 0.5000, 0.5000) and H at (0.0000, 0.5000, 0.5000).

[5]
Computed, not measured: a relaxed structure of ZrTc3H at the PBE-GGA level of DFT.

Its total magnetization is 0.000 μB per atom. Its energy relative to the lowest polymorph listed for this composition is 0.00 eV per formula unit.

The structure belongs to space group Pm-3m (No. 221); the cell edges are 4.0612, 4.0612 and 4.0612 Å and the angles 90.00°, 90.00° and 90.00°. The inequivalent atoms are Zr at (0.0000, 0.0000, 0.0000), Tc at (0.0000, 0.5000, 0.5000) and H at (0.5000, 0.5000, 0.5000).

[6]
Computed, not measured: a relaxed structure of Zr3TcH at the PBE-GGA level of DFT.

Its total magnetization is 0.000 μB per atom. Its energy relative to the lowest polymorph listed for this composition is 5.44 eV per formula unit.

The structure belongs to space group Pm-3m (No. 221); the cell edges are 5.0530, 5.0530 and 5.0530 Å and the angles 90.00°, 90.00° and 90.00°. The inequivalent atoms are Zr at (0.0000, 0.0000, 0.5000), Tc at (0.0000, 0.0000, 0.0000) and H at (0.5000, 0.5000, 0.5000).

[7]
Computed, not measured: a relaxed structure of ZrTcH3 at the PBE-GGA level of DFT.

Its total magnetization is 0.000 μB per atom. Its energy relative to the lowest polymorph listed for this composition is 0.00 eV per formula unit.

The structure belongs to space group C2/c (No. 15); the cell edges are 7.6036, 8.8543 and 5.6545 Å and the angles 90.00°, 106.52° and 90.00°. The inequivalent atoms are Zr at (0.0000, 0.1046, 0.2500), Zr at (0.0000, 0.3474, 0.7500), Tc at (0.2035, 0.3853, 0.3182), H at (0.0568, 0.1206, 0.6265), H at (0.1744, 0.2393, 0.1081) and H at (0.2401, 0.4550, 0.0300).

[8]
Computed, not measured: a relaxed structure of ZrTcH3 at the PBE-GGA level of DFT.

Its total magnetization is 0.000 μB per atom. Its energy relative to the lowest polymorph listed for this composition is 3.35 eV per formula unit.

The structure belongs to space group Pm-3m (No. 221); the cell edges are 3.6456, 3.6456 and 3.6456 Å and the angles 90.00°, 90.00° and 90.00°. The inequivalent atoms are Zr at (0.0000, 0.0000, 0.0000), Tc at (0.5000, 0.5000, 0.5000) and H at (0.0000, 0.0000, 0.5000).

[9]
Computed, not measured: a relaxed structure of Zr2TcH8 at the PBE-GGA level of DFT.

Its total magnetization is 0.000 μB per atom.

The structure belongs to space group C2/m (No. 12); the cell edges are 12.8076, 3.2179 and 4.2409 Å and the angles 90.00°, 109.05° and 90.00°. The inequivalent atoms are Zr at (0.1457, 0.0000, 0.1436), Tc at (0.0000, 0.5000, 0.5000), H at (0.0000, 0.0000, 0.2610), H at (0.1252, 0.5000, 0.4094), H at (0.1252, 0.5000, 0.8371) and H at (0.2410, 0.0000, 0.7431).

[10]
Computed, not measured: a relaxed structure of TeH2 at the PBE-GGA level of DFT.

Its total magnetization is 0.000 μB per atom.

The structure belongs to space group P-1 (No. 2); the cell edges are 3.0842, 5.4883 and 6.9717 Å and the angles 89.97°, 86.22° and 89.97°. The inequivalent atoms are Te at (0.0097, 0.2501, 0.4234), H at (0.3964, 0.2508, 0.9644) and H at (0.4503, 0.7512, 0.1241).

[11]
Computed, not measured: a relaxed structure of TeH4 at the PBE-GGA level of DFT.

Its total magnetization is 0.170 μB per atom.

The structure belongs to space group Pm-3m (No. 221); the cell edges are 3.9703, 3.9703 and 3.9703 Å and the angles 90.00°, 90.00° and 90.00°. The inequivalent atoms are Te at (0.0000, 0.0000, 0.0000), H at (0.0000, 0.0000, 0.5000) and H at (0.5000, 0.5000, 0.5000).

[12]
Computed, not measured: a relaxed structure of TeH2 at the PBE-GGA level of DFT.

Its total magnetization is 0.000 μB per atom.

The structure belongs to space group P-1 (No. 2); the cell edges are 2.9826, 2.9845 and 6.5271 Å and the angles 91.91°, 92.14° and 94.67°. The inequivalent atoms are Te at (0.0000, 0.0000, 0.0000) and H at (0.4204, 0.4251, 0.4660).

[13]
Computed, not measured: a relaxed structure of Te4H at the PBE-GGA level of DFT.

Its total magnetization is 0.000 μB per atom.

The structure belongs to space group Pm-3m (No. 221); the cell edges are 4.8657, 4.8657 and 4.8657 Å and the angles 90.00°, 90.00° and 90.00°. The inequivalent atoms are Te at (0.0000, 0.0000, 0.0000), Te at (0.0000, 0.5000, 0.5000) and H at (0.5000, 0.5000, 0.5000).

[14]
Computed, not measured: a relaxed structure of Th3Te6H at the PBE-GGA level of DFT.

Its total magnetization is 0.009 μB per atom.

The structure belongs to space group Cmc2_1 (No. 36); the cell edges are 12.2827, 14.7232 and 7.4761 Å and the angles 90.00°, 90.00° and 90.00°. The inequivalent atoms are Th at (0.0000, 0.1085, 0.0000), Th at (0.1754, 0.3919, 0.1048), Te at (0.0000, 0.2709, 0.2912), Te at (0.0000, 0.4632, 0.7872), Te at (0.1628, 0.0335, 0.3003), Te at (0.1719, 0.2347, 0.8230) and H at (0.0000, 0.3752, 0.6370).

[15]
Computed, not measured: a relaxed structure of Th3TeH at the PBE-GGA level of DFT.

Its total magnetization is 0.000 μB per atom.

The structure belongs to space group Pm-3m (No. 221); the cell edges are 4.9371, 4.9371 and 4.9371 Å and the angles 90.00°, 90.00° and 90.00°. The inequivalent atoms are Th at (0.0000, 0.0000, 0.5000), Te at (0.5000, 0.5000, 0.5000) and H at (0.0000, 0.0000, 0.0000).

[16]
Computed, not measured: a relaxed structure of Th2Te3H2 at the PBE-GGA level of DFT.

Its total magnetization is 0.000 μB per atom.

The structure belongs to space group Immm (No. 71); the cell edges are 4.1571, 4.4068 and 18.5158 Å and the angles 90.00°, 90.00° and 90.00°. The inequivalent atoms are Th at (0.0000, 0.0000, 0.1257), Te at (0.0000, 0.0000, 0.3084), Te at (0.0000, 0.5000, 0.0000) and H at (0.0000, 0.5000, 0.4188).

[17]
Computed, not measured: a relaxed structure of Th3TeH3 at the PBE-GGA level of DFT.

Its total magnetization is 0.000 μB per atom.

The structure belongs to space group Pm-3n (No. 223); the cell edges are 6.4586, 6.4586 and 6.4586 Å and the angles 90.00°, 90.00° and 90.00°. The inequivalent atoms are Th at (0.0000, 0.2500, 0.5000), Te at (0.0000, 0.0000, 0.0000) and H at (0.0000, 0.5000, 0.2500).

[18]
Computed, not measured: a relaxed structure of Th4Te3H2 at the PBE-GGA level of DFT.

Its total magnetization is 0.000 μB per atom.

The structure belongs to space group C2/c (No. 15); the cell edges are 13.7840, 9.3719 and 7.3471 Å and the angles 90.00°, 105.72° and 90.00°. The inequivalent atoms are Th at (0.0904, 0.2383, 0.4663), Th at (0.2007, 0.4191, 0.1136), Te at (0.0000, 0.4530, 0.7500), Te at (0.1253, 0.0937, 0.0962) and H at (0.2285, 0.3689, 0.4429).

[19]
Computed, not measured: a relaxed structure of Th2Te2H at the PBE-GGA level of DFT.

Its total magnetization is 0.000 μB per atom.

The structure belongs to space group Cmc2_1 (No. 36); the cell edges are 4.0330, 15.4975 and 8.7257 Å and the angles 90.00°, 90.00° and 90.00°. The inequivalent atoms are Th at (0.0000, 0.0674, 0.0000), Th at (0.0000, 0.3592, 0.8777), Te at (0.0000, 0.2713, 0.5430), Te at (0.0000, 0.4547, 0.2063) and H at (0.0000, 0.0711, 0.4138).

[20]
Computed, not measured: a relaxed structure of Th3Te3H at the PBE-GGA level of DFT.

Its total magnetization is 0.000 μB per atom.

The structure belongs to space group C2/m (No. 12); the cell edges are 8.7820, 11.9295 and 7.7345 Å and the angles 90.00°, 101.25° and 90.00°. The inequivalent atoms are Th at (0.0926, 0.0000, 0.3268), Th at (0.2069, 0.3496, 0.2096), Te at (0.0000, 0.1612, 0.0000), Te at (0.0000, 0.2417, 0.5000), Te at (0.1066, 0.5000, 0.8408) and H at (0.1660, 0.0000, 0.6360).

[21]
Computed, not measured: a relaxed structure of Th3Te2H2 at the PBE-GGA level of DFT.

Its total magnetization is 0.000 μB per atom.

The structure belongs to space group C2/m (No. 12); the cell edges are 18.0738, 4.1030 and 4.5604 Å and the angles 90.00°, 104.55° and 90.00°. The inequivalent atoms are Th at (0.0000, 0.0000, 0.0000), Th at (0.1251, 0.5000, 0.6259), Te at (0.1829, 0.0000, 0.1839) and H at (0.0002, 0.5000, 0.2597).

[22]
Computed, not measured: a relaxed structure of Th5Te5H2 at the PBE-GGA level of DFT.

Its total magnetization is 0.000 μB per atom.

The structure belongs to space group C2/m (No. 12); the cell edges are 14.5142, 4.1085 and 11.5656 Å and the angles 90.00°, 108.76° and 90.00°. The inequivalent atoms are Th at (0.0000, 0.0000, 0.0000), Th at (0.0836, 0.0000, 0.3441), Th at (0.1591, 0.5000, 0.7804), Te at (0.0000, 0.5000, 0.5000), Te at (0.1719, 0.5000, 0.0594), Te at (0.2385, 0.0000, 0.6225) and H at (0.0689, 0.0000, 0.8142).

[23]
Computed, not measured: a relaxed structure of Th3Te2H at the PBE-GGA level of DFT.

Its total magnetization is 0.000 μB per atom.

The structure belongs to space group Cmc2_1 (No. 36); the cell edges are 15.0183, 6.1001 and 7.4748 Å and the angles 90.00°, 90.00° and 90.00°. The inequivalent atoms are Th at (0.0000, 0.0923, 0.0000), Th at (0.1265, 0.3991, 0.6482), Te at (0.1652, 0.1133, 0.2852) and H at (0.0000, 0.4158, 0.1392).

Number 1: raw total energy -6.59 eV per atom. Number 2: raw total energy -8.10 eV per atom. Number 3: raw total energy -6.13 eV per atom. Number 4: raw total energy -5.94 eV per atom. Number 5: raw total energy -8.56 eV per atom. Number 6: raw total energy -6.81 eV per atom. Number 7: raw total energy -6.04 eV per atom. Number 8: raw total energy -5.37 eV per atom. Number 9: raw total energy -5.19 eV per atom. Number 10: raw total energy -3.27 eV per atom. Number 11: raw total energy -2.54 eV per atom. Number 12: raw total energy -3.25 eV per atom. Number 13: raw total energy -2.59 eV per atom. Number 14: raw total energy -5.36 eV per atom. Number 15: raw total energy -6.12 eV per atom. Number 16: raw total energy -5.40 eV per atom. Number 17: raw total energy -5.49 eV per atom. Number 18: raw total energy -5.82 eV per atom. Number 19: raw total energy -5.78 eV per atom. Number 20: raw total energy -5.85 eV per atom. Number 21: raw total energy -5.81 eV per atom. Number 22: raw total energy -5.78 eV per atom. Number 23: raw total energy -5.95 eV per atom.